An optimized crystal structure of BaPtSN2. Source: the Alexandria database, functional GGA-PBEsol.

```
BaPtSN2
1.0
4.2606 0.0000 0.0000
0.0000 4.2606 0.0000
0.0000 0.0000 6.0876
S Ba Pt N
1 1 1 2
Direct
0.0000 0.0000 0.5000 S
0.0000 0.0000 0.0000 Ba
0.5000 0.5000 0.5000 Pt
0.0000 0.5000 0.0000 N
0.5000 0.0000 0.0000 N
```

Computed properties:
E_tot = -19.23 eV per cell
Energy relative to the elements, uncorrected = 2.2650 eV per atom
Space-group type = P4/mmm
Crystal system = tetragonal



An optimized crystal structure of RbBaTeN2. Source: the Alexandria database, functional GGA-PBEsol.

```
RbBaTeN2
1.0
-2.2747 4.5339 1.4974
-4.0845 -2.7067 1.9907
3.1316 -0.3802 5.9084
Te Ba Rb N
1 1 1 2
Direct
0.0000 0.0000 0.5000 Te
0.0000 0.0000 0.0000 Ba
0.5000 0.5000 0.5000 Rb
0.0000 0.5000 0.0000 N
0.5000 0.0000 0.0000 N
```

Computed properties:
E_tot = -19.31 eV per cell
Energy relative to the elements, uncorrected = 0.8896 eV per atom
Space-group type = P4/mmm
Crystal system = tetragonal